Entry 1:
MgIN2F PBE relaxed; energy relative to the lowest polymorph listed for this composition = 0 meV/atom; formation energy (no corrections) = 0.513 eV per atom; symmetry = P4/mmm
1.0
4.231 0.000 0.000
0.000 4.231 0.000
0.000 0.000 3.712
Mg I N F
1 1 2 1
Direct
0.000 0.000 0.000 Mg
0.500 0.500 0.500 I
0.000 0.500 0.000 N
0.500 0.000 0.000 N
0.000 0.000 0.500 F

---

Entry 2:
Zr2Ti2Ge PBE relaxed; symmetry = P4/mbm; ΔE_f = -0.18 eV/atom
1.0
6.883 0.000 0.000
0.000 6.883 0.000
0.000 0.000 4.074
Zr Ti Ge
4 4 2
Direct
0.169 0.331 0.000 Zr
0.331 0.831 0.000 Zr
0.669 0.169 0.000 Zr
0.831 0.669 0.000 Zr
0.136 0.636 0.500 Ti
0.364 0.136 0.500 Ti
0.636 0.864 0.500 Ti
0.864 0.364 0.500 Ti
0.000 0.000 0.500 Ge
0.500 0.500 0.500 Ge

---

Ordered calculated density results: 5.0, 6.0; unit Mg/m³.